Material: PuCuGe2
Method: DFT, PBE-GGA
State: relaxed

```
PuCuGe2
1.0
-1.7043 -3.4982 1.2234
-1.1327 -0.8562 -4.0262
3.7097 -2.0220 -0.6137
Ge Cu Pu
2 1 1
direct
0.0000 0.0000 0.5000 Ge
0.0000 0.5000 0.0000 Ge
0.5000 0.0000 0.0000 Cu
0.5000 0.5000 0.5000 Pu
```

Values from the calculation:
The calculation puts the energy at -7.1228 eV per atom. The space group is P4/mmm, No. 123.